Below is a geometry-optimized VPbO4 structure, with properties calculated at the PBE with a Hubbard U level.

abc: 6.991 5.997 6.984
angles: 115.43 103.00 90.00
Site moments in Bohr magnetons follow the coordinates.
Element x y z (fractional)
V 0.847 0.371 0.742  -0.08
V 0.153 0.629 0.258  -0.08
Pb 0.338 0.287 0.575  0.01
Pb 0.662 0.713 0.425  0.01
O 0.977 0.276 0.552  0.03
O 0.325 0.434 0.316  0.09
O 0.000 0.332 0.000  0.69
O 0.675 0.118 0.684  0.09
O 0.023 0.724 0.448  0.03
O 0.675 0.566 0.684  0.09
O 0.000 0.668 0.000  0.69
O 0.325 0.882 0.316  0.09

Output
As for the total energy: -6.492 eV/atom.